*P*
Below is a relaxed structure of FeCo2Ni, with properties calculated at the GGA-PBE level.

```
FeCo2Ni
1.0
-0.711 -1.551 1.801
2.246 -1.053 -0.029
2.276 4.722 4.965
Ni Co Fe
1 2 1
Cartesian
2.475 2.240 4.610
2.267 4.703 4.944
1.148 2.381 2.503
1.337 -0.121 2.127
```

* crystal system: orthorhombic
* V: 11.11 A^3/atom
* mass density: 8.7 Mg/m³



*Q*
Below is a relaxed structure of FeCo2Ni, with properties calculated at the GGA-PBE level.

```
FeCo2Ni
1.0
4.348 0.026 0.000
-1.468 4.093 0.000
0.000 0.000 2.492
Ni Fe Co
1 1 2
Cartesian
-0.734 2.046 1.246
2.174 0.013 1.246
1.440 2.059 0.000
0.000 0.000 0.000
```

* crystal system: orthorhombic
* V: 11.11 A^3/atom
* mass density: 8.7 Mg/m³



*R*
Below is a relaxed structure of FeCo2Ni, with properties calculated at the GGA-PBE level.

```
FeCo2Ni
1.0
-1.669 -5.648 5.958
-3.216 -6.500 4.194
-0.821 -7.203 4.199
Co Ni Fe
2 1 1
Cartesian
-0.005 -0.017 0.013
-2.848 -9.659 7.162
-4.280 -14.514 10.763
-1.427 -4.838 3.588
```

* crystal system: trigonal
* V: 11.13 A^3/atom
* mass density: 8.7 Mg/m³



*S*
Below is a relaxed structure of FeCo2Ni, with properties calculated at the GGA-PBE level.

```
FeCo2Ni
1.0
3.533 0.000 0.000
0.000 3.533 0.000
0.000 0.000 3.577
Fe Co Ni
1 2 1
Cartesian
1.766 0.000 1.789
0.000 0.000 0.000
1.766 1.766 0.000
0.000 1.766 1.789
```

* crystal system: tetragonal
* V: 11.16 A^3/atom
* mass density: 8.6 Mg/m³



The least stable of them is *P*.



*P*
Below is a relaxed structure of FeCo2Ni, with properties calculated at the GGA-PBE level.

```
FeCo2Ni
1.0
-0.679 2.614 -2.223
-1.410 1.127 1.757
2.668 3.608 3.428
Fe Ni Co
1 1 2
Cartesian
-0.025 2.491 0.185
0.604 4.858 2.777
2.654 3.600 3.424
0.643 2.375 2.597
```

* crystal system: monoclinic
* V: 11.14 A^3/atom
* mass density: 8.7 Mg/m³



*Q*
Below is a relaxed structure of FeCo2Ni, with properties calculated at the GGA-PBE level.

```
FeCo2Ni
1.0
4.328 -0.043 0.001
1.456 4.076 -0.001
-2.892 -2.016 2.509
Fe Co Ni
1 2 1
Cartesian
2.892 2.016 0.000
0.000 0.000 0.000
2.164 -0.021 1.255
0.728 2.038 1.254
```

* crystal system: tetragonal
* V: 11.11 A^3/atom
* mass density: 8.7 Mg/m³



The least stable of them is *P*.